# LaNdSc2In4 PBE relaxed
data_LaNdSc2In4
_symmetry_space_group_name_H-M 'P 1'
_symmetry_Int_Tables_number 1
_symmetry_space_group_name_Hall 'P 1'
_cell_length_a 5.302
_cell_length_b 5.302
_cell_length_c 9.202
_cell_angle_alpha 73.26
_cell_angle_beta 73.26
_cell_angle_gamma 60.00
loop_
_atom_site_label
_atom_site_fract_x
_atom_site_fract_y
_atom_site_fract_z
In1 0.126 0.126 0.622
In2 0.874 0.874 0.378
In3 0.376 0.376 0.872
In4 0.624 0.624 0.128
La1 0.000 0.000 0.000
Sc1 0.250 0.250 0.250
Sc2 0.750 0.750 0.750
Nd1 0.500 0.500 0.500
# - space-group type = No. 166
# - DOS(E_F) (states/eV per cell) = 4.2
# - total moment (μB/atom) = 0.0000
# - energy (eV/atom) = -4.599
# - V (Å³/f.u.) = 211